[1]
## CaTcW4 (PBE-GGA)

Data for a geometry-optimized CaTcW4 structure.

The space group is No. 216.

Geometry as extended XYZ:
```
6
Lattice="0.000 3.787 3.787 3.787 0.000 3.787 3.787 3.787 0.000" Properties=species:S:1:pos:R:3 pbc="T T T"
Ca 0.000 0.000 0.000
Tc 5.681 5.681 5.681
W 2.840 2.840 2.840
W 4.734 4.734 2.840
W 4.734 2.840 4.734
W 2.840 4.734 4.734
```

=====

[2]
## Ca2Ga4HgPt3 (PBE-GGA)

Data for a geometry-optimized Ca2Ga4HgPt3 structure.

The space group is No. 115.

Geometry as extended XYZ:
```
10
Lattice="4.325 0.000 0.000 0.000 4.325 0.000 0.000 0.000 10.773" Properties=species:S:1:pos:R:3 pbc="T T T"
Ca 0.000 2.163 2.618
Ca 2.163 0.000 8.155
Ga 0.000 0.000 0.000
Ga 0.000 2.163 6.926
Ga 2.163 0.000 3.847
Ga 2.163 2.163 0.000
Hg 0.000 0.000 5.386
Pt 0.000 2.163 9.401
Pt 2.163 0.000 1.372
Pt 2.163 2.163 5.386
```

=====

Number 1: formation energy 0.519 eV/atom, density 13.3 g/cm3. Number 2: formation energy -0.709 eV/atom, density 9.4 g/cm3.